No. 1
VASP calculation (PBE-GGA) on crystalline Pm3AgPb3 at its relaxed geometry.

```
Pm3AgPb3
1.0
4.2673 -5.5331 0.0000
4.2673 5.5331 0.0000
-1.1071 0.0000 8.7695
Pm Ag Pb
6 2 6
direct
0.1812 0.8188 0.0000
0.2422 0.7578 0.5000
0.3904 0.3904 0.1668
0.6096 0.6096 0.8332
0.7578 0.2422 0.5000
0.8188 0.1812 0.0000
0.3358 0.3358 0.5218
0.6642 0.6642 0.4782
0.0531 0.0531 0.2927
0.1090 0.4383 0.7758
0.4383 0.1090 0.7758
0.5617 0.8910 0.2242
0.8910 0.5617 0.2242
0.9469 0.9469 0.7073
```

Calculated values
DFT formation energy, eV/atom: -0.39
Excess energy over the best structure of this formula in the dataset, meV/atom: 88
Space-group type: C2/m
DFT total energy, eV/f.u.: -30.931

No. 2
VASP calculation (PBE-GGA) on crystalline Pm2AgPb2 at its relaxed geometry.

```
Pm2AgPb2
1.0
5.9044 -2.3592 0.0000
5.9044 2.3592 0.0000
-4.9585 0.0000 10.1648
Pm Ag Pb
4 2 4
direct
0.0058 0.0058 0.3295
0.1792 0.1792 0.1066
0.8208 0.8208 0.8934
0.9942 0.9942 0.6705
0.2936 0.2936 0.6685
0.7064 0.7064 0.3315
0.3502 0.3502 0.4318
0.4557 0.4557 0.1127
0.5443 0.5443 0.8873
0.6498 0.6498 0.5682
```

Calculated values
DFT formation energy, eV/atom: -0.44
Excess energy over the best structure of this formula in the dataset, meV/atom: 0
Space-group type: C2/m
DFT total energy, eV/f.u.: -21.947

No. 3
VASP calculation (PBE-GGA) on crystalline Pm5Ag2Pb5 at its relaxed geometry.

```
Pm5Ag2Pb5
1.0
8.3950 -2.3957 0.0000
8.3950 2.3957 0.0000
-6.8600 0.0000 8.5464
Pm Ag Pb
5 2 5
direct
0.0000 0.0000 0.0000
0.1088 0.1088 0.4193
0.1880 0.1880 0.8278
0.8120 0.8120 0.1722
0.8912 0.8912 0.5807
0.3583 0.3583 0.7555
0.6417 0.6417 0.2445
0.2568 0.2568 0.3157
0.4337 0.4337 0.1362
0.5000 0.5000 0.5000
0.5663 0.5663 0.8638
0.7432 0.7432 0.6843
```

Calculated values
DFT formation energy, eV/atom: -0.46
Space-group type: C2/m
DFT total energy, eV/f.u.: -53.487

No. 4
VASP calculation (PBE-GGA) on crystalline Pm4Ag2Pb at its relaxed geometry.

```
Pm4Ag2Pb
1.0
2.6524 1.5313 8.4001
-2.6524 1.5313 8.4001
0.0000 -3.0627 8.4001
Pm Ag Pb
4 2 1
direct
0.1135 0.1135 0.1135
0.3681 0.3681 0.3681
0.6319 0.6319 0.6319
0.8865 0.8865 0.8865
0.2435 0.2435 0.2435
0.7565 0.7565 0.7565
0.5000 0.5000 0.5000
```

Calculated values
DFT formation energy, eV/atom: -0.21
Space-group type: R-3m
DFT total energy, eV/f.u.: -29.858

No. 5
VASP calculation (PBE-GGA) on crystalline Pm5Ag2Pb at its relaxed geometry.

```
Pm5Ag2Pb
1.0
-4.1781 4.1781 6.7635
4.1781 -4.1781 6.7635
4.1781 4.1781 -6.7635
Pm Ag Pb
10 4 2
direct
0.0000 0.0000 0.0000
0.0070 0.5070 0.8096
0.1974 0.0070 0.5000
0.3026 0.8026 0.8096
0.4930 0.3026 0.5000
0.5000 0.5000 0.0000
0.5070 0.6974 0.5000
0.6974 0.1974 0.1904
0.8026 0.9930 0.5000
0.9930 0.4930 0.1904
0.1325 0.3675 0.5000
0.3675 0.8675 0.2350
0.6325 0.1325 0.7650
0.8675 0.6325 0.5000
0.2500 0.2500 0.0000
0.7500 0.7500 0.0000
```

Calculated values
DFT formation energy, eV/atom: -0.28
Space-group type: I4/mcm
DFT total energy, eV/f.u.: -35.396

No. 6
VASP calculation (PBE-GGA) on crystalline Pm5AgPb6 at its relaxed geometry.

```
Pm5AgPb6
1.0
-2.4467 4.5928 7.7404
2.4467 -4.5928 7.7404
2.4467 4.5928 -7.7404
Pm Ag Pb
5 1 6
direct
0.0000 0.0000 0.0000
0.1677 0.6677 0.5000
0.3547 0.3547 0.0000
0.6453 0.6453 0.0000
0.8323 0.3323 0.5000
0.5000 0.0000 0.5000
0.0794 0.8303 0.2490
0.2478 0.5000 0.7478
0.4187 0.1697 0.2490
0.5813 0.8303 0.7510
0.7522 0.5000 0.2522
0.9206 0.1697 0.7510
```

Calculated values
DFT formation energy, eV/atom: -0.43
Space-group type: Immm
DFT total energy, eV/f.u.: -54.045